1.
VASP calculation (GGA-PBE) on a relaxed Cu2PbCl crystal.

Calculated values
Relative energy among the computed polymorphs: 311 meV/atom
ΔE_f (raw): 0.234 eV/atom

POSCAR file:
```
Cu2PbCl
1.0
-2.6888 -0.9102 1.6718
-0.1132 -2.8118 -1.7129
4.0682 -3.1161 4.8464
Pb Cu Cl
1 2 1
direct
0.5000 0.5000 0.2500
0.0000 0.0000 0.9836
0.0000 0.0000 0.5164
0.5000 0.5000 0.7500
```


2.
VASP calculation (GGA-PBE) on a relaxed CuPb3Cl crystal.

Calculated values
Relative energy among the computed polymorphs: 0 meV/atom
ΔE_f (raw): 0.096 eV/atom

POSCAR file:
```
CuPb3Cl
1.0
-3.0949 -4.3232 0.1701
1.3690 -1.1769 -5.0038
4.1043 -2.8675 1.7973
Pb Cu Cl
3 1 1
direct
0.0000 0.5000 0.0000
0.0000 0.0000 0.5000
0.5000 0.0000 0.0000
0.0000 0.0000 0.0000
0.5000 0.5000 0.5000
```


3.
VASP calculation (GGA-PBE) on a relaxed Cu2PbCl crystal.

Calculated values
Relative energy among the computed polymorphs: 60 meV/atom
ΔE_f (raw): -0.017 eV/atom

POSCAR file:
```
Cu2PbCl
1.0
-1.8021 -7.1213 0.6516
0.2497 -6.3835 3.6841
-2.8996 0.8741 1.7492
Pb Cu Cl
1 2 1
direct
0.4851 0.4851 0.4921
0.0685 0.0685 0.9891
0.6765 0.6765 0.0073
0.2700 0.2700 0.0114
```


4.
VASP calculation (GGA-PBE) on a relaxed CuPb2Cl5 crystal.

Calculated values
Relative energy among the computed polymorphs: 62 meV/atom
ΔE_f (raw): -0.878 eV/atom

POSCAR file:
```
CuPb2Cl5
1.0
5.7298 0.0000 0.0000
-2.8649 6.6280 0.0000
0.0000 0.0000 13.4275
Cu Pb Cl
2 4 10
direct
0.8115 0.6231 0.7500
0.1885 0.3769 0.2500
0.8514 0.7029 0.4289
0.8514 0.7029 0.0711
0.1486 0.2971 0.5711
0.1486 0.2971 0.9289
0.9447 0.8893 0.8745
0.9447 0.8893 0.6255
0.3107 0.6214 0.3981
0.3107 0.6214 0.1019
0.7307 0.4613 0.2500
0.2693 0.5387 0.7500
0.6893 0.3786 0.6019
0.6893 0.3786 0.8981
0.0553 0.1107 0.1255
0.0553 0.1107 0.3745
```


5.
VASP calculation (GGA-PBE) on a relaxed Cu2PbCl crystal.

Calculated values
Relative energy among the computed polymorphs: 327 meV/atom
ΔE_f (raw): 0.250 eV/atom

POSCAR file:
```
Cu2PbCl
1.0
-0.8179 1.2587 2.8500
2.2473 -4.1577 2.4811
4.0045 2.2557 0.1530
Pb Cu Cl
1 2 1
direct
0.5000 0.0000 0.5000
0.0000 0.0000 0.0000
0.5000 0.5000 0.0000
0.0000 0.5000 0.5000
```


6.
VASP calculation (GGA-PBE) on a relaxed CuPb2Cl crystal.

Calculated values
Relative energy among the computed polymorphs: 206 meV/atom
ΔE_f (raw): 0.039 eV/atom

POSCAR file:
```
CuPb2Cl
1.0
-3.6200 4.6545 -3.2901
-5.2548 3.5845 2.2653
6.2754 -2.0221 1.4572
Pb Cu Cl
2 1 1
direct
0.0000 0.0000 0.0000
0.2500 0.7500 0.5000
0.7500 0.2500 0.5000
0.5000 0.5000 0.0000
```


7.
VASP calculation (GGA-PBE) on a relaxed CuPb2Cl crystal.

Calculated values
Relative energy among the computed polymorphs: 207 meV/atom
ΔE_f (raw): 0.040 eV/atom

POSCAR file:
```
CuPb2Cl
1.0
6.3768 0.0000 0.0000
0.0000 6.3768 0.0000
3.1884 3.1884 6.5672
Pb Cu Cl
4 2 2
direct
0.6856 0.1250 0.2500
0.0644 0.6250 0.2500
0.3750 0.3144 0.7500
0.8750 0.9356 0.7500
0.0000 0.0000 0.0000
0.7500 0.2500 0.5000
0.5000 0.5000 0.0000
0.2500 0.7500 0.5000
```


8.
VASP calculation (GGA-PBE) on a relaxed Cu2PbCl crystal.

Calculated values
Relative energy among the computed polymorphs: 150 meV/atom
ΔE_f (raw): 0.072 eV/atom

POSCAR file:
```
Cu2PbCl
1.0
-5.5107 1.3542 -5.2683
-7.6406 0.8424 -0.9324
6.7381 1.2739 3.5961
Pb Cu Cl
1 2 1
direct
0.5218 0.5218 0.0000
0.9246 0.9246 0.0000
0.8117 0.3117 0.5000
0.2419 0.7419 0.5000
```


So what do the calculations give for raw total energy? Going down the list: -3.20; -3.32; -3.45; -3.47; -3.19; -3.30; -3.30; -3.36 eV/atom.